# AsIr3

A relaxed structure of AsIr3 (PBE, Alexandria).

```
AsIr3
1.0
2.824 0.000 0.000
0.000 3.784 0.000
0.000 0.000 5.658
As Ir
1 3
direct
0.000 0.000 0.000
0.000 0.000 0.500
0.500 0.500 0.260
0.500 0.500 0.740
```

Results
Energy relative to the elements (eV/atom): 0.26
Distance to the lowest polymorph of the same formula (meV per atom): 180
SG: Pmmm (47)
D(E_F) (states/eV/atom): 1.120
E_tot (eV per atom): -7.551